Entry 1:
# CaTe2P

A relaxed CaTe2P crystal (PBE-GGA, Alexandria via LeMat-Bulk).

Cell and atoms, written as POSCAR:
```
CaTe2P
1.0
6.218 0.000 0.000
0.000 6.218 0.000
3.109 3.109 7.699
P Ca Te
2 2 4
Direct
0.500 0.500 0.000
0.250 0.750 0.500
0.000 0.000 0.000
0.750 0.250 0.500
0.566 0.125 0.250
0.184 0.625 0.250
0.375 0.434 0.750
0.875 0.816 0.750
```

Summary:
The value obtained for the magnetic moment is 0.00 μB per cell. As for the calculated volume: 37.21 A^3/atom. Its space group is No. 122. The uncorrected formation energy is -0.32 eV per atom. The raw total energy comes out at -29.9 eV/cell.

Entry 2:
# LiY2Sn

A relaxed LiY2Sn crystal (PBE-GGA, Alexandria via LeMat-Bulk).

Cell and atoms, written as POSCAR:
```
LiY2Sn
1.0
3.448 0.000 0.000
1.724 2.986 0.000
1.724 0.995 11.507
Y Sn Li
2 1 1
Direct
0.090 0.090 0.730
0.910 0.910 0.270
0.000 0.000 0.000
0.500 0.500 0.500
```

Summary:
The value obtained for the magnetic moment is 0.00 μB per cell. As for the calculated volume: 29.62 A^3/atom. Its space group is No. 166. As for the formation energy: 0.1583 eV/atom. The raw total energy comes out at -18.2 eV/cell.

Entry 3:
# La2ErBi

A relaxed La2ErBi crystal (PBE-GGA, Alexandria via LeMat-Bulk).

Cell and atoms, written as POSCAR:
```
La2ErBi
1.0
4.200 0.000 0.000
2.100 3.637 0.000
2.100 1.212 9.789
La Er Bi
2 1 1
Direct
0.073 0.073 0.782
0.261 0.261 0.217
0.500 0.500 0.501
0.667 0.667 0.000
```

Summary:
The value obtained for the magnetic moment is 1.04 μB per cell. As for the calculated volume: 37.38 A^3/atom. Its space group is No. 160. As for the formation energy: -0.2133 eV/atom. The raw total energy comes out at -19.2 eV/cell. The calculation puts the energy relative to the lowest polymorph listed for this composition at 222 meV per atom.

Entry 4:
# Hg4SbAs

A relaxed Hg4SbAs crystal (PBE-GGA, Alexandria via LeMat-Bulk).

Cell and atoms, written as POSCAR:
```
Hg4SbAs
1.0
-4.333 -1.097 3.973
-3.149 4.526 2.315
-5.729 0.752 -1.541
Hg Sb As
4 1 1
Direct
0.876 0.375 0.375
0.375 0.375 0.876
0.375 0.876 0.375
0.375 0.375 0.375
0.750 0.750 0.750
0.000 0.000 0.000
```

Summary:
The value obtained for the magnetic moment is 0.00 μB per cell. As for the calculated volume: 25.20 A^3/atom. Its space group is No. 216. The uncorrected formation energy is 0.47 eV per atom. The raw total energy comes out at -7.2 eV/cell.

Entry 5:
# TbNd2Pt

A relaxed TbNd2Pt crystal (PBE-GGA, Alexandria via LeMat-Bulk).

Cell and atoms, written as POSCAR:
```
TbNd2Pt
1.0
-1.103 3.536 -0.805
-1.839 2.050 2.604
8.396 5.621 4.262
Nd Tb Pt
2 1 1
Direct
0.109 0.109 0.674
0.891 0.891 0.326
0.000 0.000 0.000
0.500 0.500 0.500
```

Summary:
The value obtained for the magnetic moment is 0.00 μB per cell. As for the calculated volume: 33.42 A^3/atom. Its space group is No. 166. As for the formation energy: -0.2268 eV/atom. The raw total energy comes out at -21.1 eV/cell. The calculation puts the energy relative to the lowest polymorph listed for this composition at 416 meV per atom.

Entry 6:
# Cs7Au3

A relaxed Cs7Au3 crystal (PBE-GGA, Alexandria via LeMat-Bulk).

Cell and atoms, written as POSCAR:
```
Cs7Au3
1.0
-0.547 -8.902 7.356
11.053 2.957 -1.657
-5.778 8.995 4.400
Cs Au
14 6
Direct
0.250 0.500 0.750
0.750 0.500 0.250
0.500 0.750 0.250
0.500 0.250 0.750
0.250 0.750 0.500
0.750 0.250 0.500
0.000 0.311 0.000
0.689 0.689 0.689
0.000 0.000 0.689
0.689 0.000 0.000
0.311 0.000 0.000
0.000 0.000 0.311
0.311 0.311 0.311
0.000 0.689 0.000
0.000 0.330 0.330
0.000 0.670 0.670
0.330 0.330 0.000
0.670 0.670 0.000
0.670 0.000 0.670
0.330 0.000 0.330
```

Summary:
The value obtained for the magnetic moment is 1.12 μB per cell. As for the calculated volume: 59.48 A^3/atom. Its space group is No. 229. As for the formation energy: -0.1682 eV/atom. The raw total energy comes out at -35.0 eV/cell.

Entry 7:
# Pm2Zn5Ag5

A relaxed Pm2Zn5Ag5 crystal (PBE-GGA, Alexandria via LeMat-Bulk).

Cell and atoms, written as POSCAR:
```
Pm2Zn5Ag5
1.0
-3.573 1.226 2.533
-3.222 -0.630 -4.240
-1.408 -9.106 2.423
Pm Zn Ag
2 5 5
Direct
0.000 0.500 0.000
0.000 0.000 0.500
0.500 0.500 0.500
0.500 0.750 0.254
0.500 0.250 0.746
0.500 0.250 0.254
0.500 0.750 0.746
0.000 0.500 0.334
0.000 0.000 0.824
0.000 0.000 0.176
0.000 0.500 0.666
0.500 0.000 0.000
```

Summary:
The value obtained for the magnetic moment is 0.00 μB per cell. As for the calculated volume: 19.36 A^3/atom. Its space group is No. 47. As for the formation energy: -0.2465 eV/atom. The raw total energy comes out at -33.1 eV/cell. The calculation puts the energy relative to the lowest polymorph listed for this composition at 0 meV per atom.

Entry 8:
# Sr2NiIr

A relaxed Sr2NiIr crystal (PBE-GGA, Alexandria via LeMat-Bulk).

Cell and atoms, written as POSCAR:
```
Sr2NiIr
1.0
3.494 0.008 0.000
-0.008 3.494 0.000
0.000 0.000 8.691
Ir Ni Sr
1 1 2
Direct
0.000 0.000 0.586
0.500 0.500 0.661
0.000 0.000 0.914
0.500 0.500 0.340
```

Summary:
The value obtained for the magnetic moment is 0.35 μB per cell. As for the calculated volume: 26.53 A^3/atom. Its space group is No. 99. As for the formation energy: 0.1505 eV/atom. The raw total energy comes out at -17.4 eV/cell.

Entry 9:
# CdTe2S2

A relaxed CdTe2S2 crystal (PBE-GGA, Alexandria via LeMat-Bulk).

Cell and atoms, written as POSCAR:
```
CdTe2S2
1.0
7.123 0.000 0.000
0.000 7.123 0.000
0.000 0.000 5.381
S Te Cd
4 4 2
Direct
0.172 0.672 0.000
0.672 0.828 0.000
0.828 0.328 0.000
0.328 0.172 0.000
0.141 0.641 0.500
0.641 0.859 0.500
0.859 0.359 0.500
0.359 0.141 0.500
0.000 0.000 0.000
0.500 0.500 0.000
```

Summary:
The value obtained for the magnetic moment is 0.00 μB per cell. As for the calculated volume: 27.30 A^3/atom. Its space group is No. 127. The uncorrected formation energy is 0.00 eV per atom. The raw total energy comes out at -30.9 eV/cell. The calculation puts the energy relative to the lowest polymorph listed for this composition at 0 meV per atom.

Entry 10:
# LiGdTlPt

A relaxed LiGdTlPt crystal (PBE-GGA, Alexandria via LeMat-Bulk).

Cell and atoms, written as POSCAR:
```
LiGdTlPt
1.0
-0.194 1.144 -4.723
-3.973 -1.059 -2.598
-2.935 3.568 -1.519
Tl Gd Pt Li
1 1 1 1
Direct
0.500 0.500 0.500
0.000 0.000 0.000
0.750 0.750 0.750
0.250 0.250 0.250
```

Summary:
The value obtained for the magnetic moment is 7.52 μB per cell. As for the calculated volume: 20.34 A^3/atom. Its space group is No. 216. As for the formation energy: -0.6050 eV/atom. The raw total energy comes out at -26.8 eV/cell.

Entry 11:
# BaFeSb2

A relaxed BaFeSb2 crystal (PBE-GGA, Alexandria via LeMat-Bulk).

Cell and atoms, written as POSCAR:
```
BaFeSb2
1.0
-1.868 -5.344 -1.647
4.164 1.683 -3.819
2.426 -1.463 2.003
Ba Fe Sb
1 1 2
Direct
0.500 0.000 0.500
0.000 0.500 0.500
0.000 0.000 0.000
0.500 0.500 0.000
```

Summary:
The value obtained for the magnetic moment is 3.32 μB per cell. As for the calculated volume: 28.75 A^3/atom. Its space group is No. 65. The uncorrected formation energy is 0.24 eV per atom. The raw total energy comes out at -17.7 eV/cell.

Entry 12:
# KZn2Ni

A relaxed KZn2Ni crystal (PBE-GGA, Alexandria via LeMat-Bulk).

Cell and atoms, written as POSCAR:
```
KZn2Ni
1.0
2.863 0.000 0.000
0.000 5.184 0.000
0.000 0.000 5.117
K Ni Zn
1 1 2
Direct
0.500 0.000 0.500
0.000 0.500 0.500
0.000 0.000 0.000
0.500 0.500 0.000
```

Summary:
The value obtained for the magnetic moment is 0.00 μB per cell. As for the calculated volume: 18.99 A^3/atom. Its space group is No. 47. As for the formation energy: 0.5835 eV/atom. The raw total energy comes out at -7.1 eV/cell. The calculation puts the energy relative to the lowest polymorph listed for this composition at 584 meV per atom.